WAuI2O: relaxed, PBE with a Hubbard U.

The spin magnetization is 2.5 Bohr magnetons per cell. The total energy comes out at -0.140 Ha/atom. Its calculated volume is 26.7 A^3/atom.

The structure belongs to space group P4/mmm (No. 123); the cell edges are 5.872, 5.872 and 3.874 Å and the angles 90.00°, 90.00° and 90.00°. The distinct sites, in fractional coordinates, are W at (0.000, 0.000, 0.000), Au at (0.500, 0.500, 0.500), I at (0.000, 0.500, 0.000) and O at (0.000, 0.000, 0.500).